# 1
## ZrAu2 (PBE)

Data for a relaxed structure of ZrAu2.

Summary:
DFT total energy ... -15.781 eV/f.u.
Crystal system ... orthorhombic
Volume ... 60 Å³/f.u.
Calculated density ... 13.504 g cm⁻³
Energy relative to the elements ... -0.23 eV/atom

Lattice parameters (Å, degrees): 7.6175 7.6175 5.0112 90.00 90.00 155.78
Sites, in units of the cell vectors:
Zr1 0.2166 0.7834 0.7500
Zr2 0.7834 0.2166 0.2500
Au1 0.1164 0.8836 0.2500
Au2 0.4488 0.5512 0.2500
Au3 0.5512 0.4488 0.7500
Au4 0.8836 0.1164 0.7500

---

# 2
## Zr2Au (PBE)

Data for a relaxed structure of Zr2Au.

Summary:
DFT total energy ... -21.621 eV/f.u.
Crystal system ... orthorhombic
Volume ... 64 Å³/f.u.
Calculated density ... 9.810 g cm⁻³
Energy relative to the elements ... -0.42 eV/atom

Lattice parameters (Å, degrees): 6.3095 6.3067 3.3113 74.83 74.74 30.43
Sites, in units of the cell vectors:
Zr1 0.1604 0.1604 0.8396
Zr2 0.8396 0.8396 0.1604
Au1 0.5000 0.5000 0.5000

---

# 3
## ZrAu2 (PBE)

Data for a relaxed structure of ZrAu2.

Summary:
DFT total energy ... -15.822 eV/f.u.
Crystal system ... trigonal
Volume ... 61 Å³/f.u.
Calculated density ... 13.271 g cm⁻³
Energy relative to the elements ... -0.24 eV/atom

Lattice parameters (Å, degrees): 3.2107 3.2107 6.7997 90.00 90.00 120.00
Sites, in units of the cell vectors:
Zr1 0.0000 0.0000 0.0000
Au1 0.3333 0.6667 0.6689
Au2 0.6667 0.3333 0.3311

---

# 4
## ZrAu2 (PBE)

Data for a relaxed structure of ZrAu2.

Summary:
DFT total energy ... -15.507 eV/f.u.
Crystal system ... tetragonal
Volume ... 64 Å³/f.u.
Calculated density ... 12.623 g cm⁻³
Energy relative to the elements ... -0.13 eV/atom

Lattice parameters (Å, degrees): 5.5078 5.5078 5.5078 106.68 106.68 115.21
Sites, in units of the cell vectors:
Zr1 0.2500 0.2500 0.0000
Zr2 0.7500 0.7500 0.0000
Au1 0.1450 0.6450 0.7900
Au2 0.3550 0.1450 0.5000
Au3 0.6450 0.8550 0.5000
Au4 0.8550 0.3550 0.2100